Crystalline NpCoBi2O8 at its relaxed geometry. Source: Alexandria via LeMat-Bulk, functional PBE with a Hubbard U.

## Properties
Uncorrected energy: -7.04 eV/atom
Symmetry: Cmmm
Theoretical density: 7.94 Mg/m³
Volume: 14.7 Å³/atom
Density of states at the Fermi level: 3.12 states/eV/f.u.

Lattice parameters (Å, degrees): 5.036 5.036 6.949 90.00 90.00 92.15
Sites, in units of the cell vectors:
O1 0.704 0.704 0.000
O2 0.720 0.720 0.500
O3 0.180 0.820 0.776
O4 0.296 0.296 0.000
O5 0.180 0.820 0.224
O6 0.820 0.180 0.776
O7 0.820 0.180 0.224
O8 0.280 0.280 0.500
Np1 0.000 0.000 0.000
Bi1 0.500 0.500 0.738
Bi2 0.500 0.500 0.262
Co1 0.000 0.000 0.500

Crystalline NpCoBiO6 at its relaxed geometry. Source: Alexandria via LeMat-Bulk, functional PBE with a Hubbard U.

## Properties
Uncorrected energy: -7.56 eV/atom
Symmetry: P-31c
Theoretical density: 8.22 Mg/m³
Volume: 13.5 Å³/atom

Lattice parameters (Å, degrees): 5.227 5.227 10.265 90.00 90.00 120.00
Sites, in units of the cell vectors:
O1 0.630 0.981 0.358
O2 0.981 0.351 0.642
O3 0.649 0.630 0.642
O4 0.981 0.630 0.858
O5 0.630 0.649 0.142
O6 0.351 0.370 0.358
O7 0.370 0.019 0.642
O8 0.019 0.370 0.142
O9 0.351 0.981 0.142
O10 0.019 0.649 0.358
O11 0.649 0.019 0.858
O12 0.370 0.351 0.858
Np1 0.667 0.333 0.250
Np2 0.333 0.667 0.750
Co1 0.667 0.333 0.750
Co2 0.333 0.667 0.250
Bi1 0.000 0.000 0.500
Bi2 0.000 0.000 0.000

Crystalline CoBi2O6 at its relaxed geometry. Source: Alexandria via LeMat-Bulk, functional PBE with a Hubbard U.

## Properties
Uncorrected energy: -5.63 eV/atom
Symmetry: P321
Theoretical density: 8.25 Mg/m³
Volume: 12.8 Å³/atom
Density of states at the Fermi level: 3.87 states/eV/f.u.

Lattice parameters (Å, degrees): 8.924 8.924 5.019 90.00 90.00 120.00
Sites, in units of the cell vectors:
Bi1 0.000 0.375 0.500
Bi2 0.375 0.000 0.500
Bi3 0.625 0.625 0.500
Bi4 0.000 0.709 0.000
Bi5 0.709 0.000 0.000
Bi6 0.291 0.291 0.000
O1 0.230 0.465 0.215
O2 0.465 0.230 0.785
O3 0.235 0.770 0.215
O4 0.081 0.199 0.718
O5 0.882 0.801 0.282
O6 0.137 0.601 0.775
O7 0.770 0.235 0.785
O8 0.399 0.535 0.775
O9 0.118 0.919 0.718
O10 0.535 0.399 0.225
O11 0.801 0.882 0.718
O12 0.919 0.118 0.282
O13 0.199 0.081 0.282
O14 0.765 0.535 0.785
O15 0.535 0.765 0.215
O16 0.601 0.137 0.225
O17 0.465 0.863 0.775
O18 0.863 0.465 0.225
Co1 0.000 0.000 0.500
Co2 0.667 0.333 0.006
Co3 0.333 0.667 0.994

Crystalline CoBi12O20 at its relaxed geometry. Source: Alexandria via LeMat-Bulk, functional PBE with a Hubbard U.

## Properties
Uncorrected energy: -5.74 eV/atom
Symmetry: I23
Theoretical density: 8.80 Mg/m³
Volume: 16.5 Å³/atom

Lattice parameters (Å, degrees): 8.910 8.910 8.910 109.47 109.47 109.47
Sites, in units of the cell vectors:
O1 0.393 0.000 0.000
O2 0.000 0.000 0.795
O3 0.000 0.393 0.000
O4 0.380 0.759 0.641
O5 0.379 0.620 0.260
O6 0.620 0.260 0.379
O7 0.881 0.241 0.621
O8 0.000 0.000 0.393
O9 0.119 0.740 0.359
O10 0.641 0.380 0.759
O11 0.359 0.119 0.740
O12 0.740 0.359 0.119
O13 0.000 0.795 0.000
O14 0.205 0.205 0.205
O15 0.260 0.379 0.620
O16 0.607 0.607 0.607
O17 0.241 0.621 0.881
O18 0.759 0.641 0.380
O19 0.795 0.000 0.000
O20 0.621 0.881 0.241
Bi1 0.495 0.303 0.161
Bi2 0.807 0.505 0.666
Bi3 0.303 0.161 0.495
Bi4 0.161 0.495 0.303
Bi5 0.193 0.859 0.697
Bi6 0.666 0.807 0.505
Bi7 0.697 0.193 0.859
Bi8 0.141 0.334 0.839
Bi9 0.839 0.141 0.334
Bi10 0.505 0.666 0.807
Bi11 0.859 0.697 0.193
Bi12 0.334 0.839 0.141
Co1 0.000 0.000 0.000

Crystalline CoBi2O6 at its relaxed geometry. Source: Alexandria via LeMat-Bulk, functional PBE with a Hubbard U.

## Properties
Uncorrected energy: -5.36 eV/atom
Symmetry: P4mm
Theoretical density: 7.81 Mg/m³
Volume: 13.5 Å³/atom
Density of states at the Fermi level: 2.76 states/eV/f.u.

Lattice parameters (Å, degrees): 3.755 3.755 8.632 90.00 90.00 90.00
Sites, in units of the cell vectors:
Bi1 0.500 0.500 0.031
Bi2 0.500 0.500 0.464
O1 0.000 0.500 0.323
O2 0.500 0.000 0.860
O3 0.000 0.000 0.619
O4 0.000 0.500 0.860
O5 0.000 0.000 0.036
O6 0.500 0.000 0.323
Co1 0.000 0.000 0.814

Crystalline CoBiO2 at its relaxed geometry. Source: Alexandria via LeMat-Bulk, functional PBE with a Hubbard U.

## Properties
Uncorrected energy: -5.46 eV/atom
Symmetry: R-3m
Theoretical density: 7.20 Mg/m³
Volume: 17.3 Å³/atom
Density of states at the Fermi level: 2.62 states/eV/f.u.

Lattice parameters (Å, degrees): 6.065 6.065 6.065 36.07 36.07 36.07
Sites, in units of the cell vectors:
O1 0.894 0.894 0.894
O2 0.106 0.106 0.106
Bi1 0.500 0.500 0.500
Co1 0.000 0.000 0.000

Crystalline Co4BiO8 at its relaxed geometry. Source: Alexandria via LeMat-Bulk, functional PBE with a Hubbard U.

## Properties
Uncorrected energy: -5.82 eV/atom
Symmetry: R-3m
Theoretical density: 6.06 Mg/m³
Volume: 12.1 Å³/atom
Density of states at the Fermi level: 5.87 states/eV/f.u.

Lattice parameters (Å, degrees): 5.752 5.752 6.403 90.00 116.69 120.00
Sites, in units of the cell vectors:
O1 0.049 0.764 0.813
O2 0.951 0.715 0.187
O3 0.951 0.236 0.187
O4 0.528 0.764 0.813
O5 0.554 0.277 0.832
O6 0.446 0.723 0.168
O7 0.049 0.285 0.813
O8 0.472 0.236 0.187
Co1 0.500 0.500 0.000
Co2 0.000 0.000 0.000
Co3 0.000 0.500 0.000
Co4 0.500 0.000 0.000
Bi1 0.000 0.500 0.500

Crystalline CoBi2O6 at its relaxed geometry. Source: Alexandria via LeMat-Bulk, functional PBE with a Hubbard U.

## Properties
Uncorrected energy: -5.62 eV/atom
Symmetry: P4_2/mnm
Theoretical density: 7.93 Mg/m³
Volume: 13.3 Å³/atom
Density of states at the Fermi level: 2.61 states/eV/f.u.

Lattice parameters (Å, degrees): 4.910 4.910 9.947 90.00 90.00 90.00
Sites, in units of the cell vectors:
O1 0.312 0.312 0.339
O2 0.688 0.688 0.339
O3 0.203 0.797 0.500
O4 0.297 0.297 0.000
O5 0.812 0.188 0.839
O6 0.312 0.312 0.661
O7 0.703 0.703 0.000
O8 0.188 0.812 0.839
O9 0.812 0.188 0.161
O10 0.797 0.203 0.500
O11 0.188 0.812 0.161
O12 0.688 0.688 0.661
Bi1 0.000 0.000 0.333
Bi2 0.500 0.500 0.833
Bi3 0.500 0.500 0.167
Bi4 0.000 0.000 0.667
Co1 0.500 0.500 0.500
Co2 0.000 0.000 0.000

Crystalline CoBiO2 at its relaxed geometry. Source: Alexandria via LeMat-Bulk, functional PBE with a Hubbard U.

## Properties
Uncorrected energy: -5.43 eV/atom
Symmetry: R-3m
Theoretical density: 8.70 Mg/m³
Volume: 14.3 Å³/atom
Density of states at the Fermi level: 3.16 states/eV/f.u.

Lattice parameters (Å, degrees): 6.763 6.763 6.763 27.26 27.26 27.26
Sites, in units of the cell vectors:
O1 0.116 0.116 0.116
O2 0.884 0.884 0.884
Co1 0.500 0.500 0.500
Bi1 0.000 0.000 0.000

Crystalline CoBi3O at its relaxed geometry. Source: Alexandria via LeMat-Bulk, functional PBE with a Hubbard U.

## Properties
Uncorrected energy: -3.82 eV/atom
Symmetry: Pm-3m
Theoretical density: 10.32 Mg/m³
Volume: 22.6 Å³/atom
Density of states at the Fermi level: 3.34 states/eV/f.u.

Lattice parameters (Å, degrees): 4.834 4.834 4.834 90.00 90.00 90.00
Sites, in units of the cell vectors:
Co1 0.500 0.500 0.500
Bi1 0.500 0.000 0.000
Bi2 0.000 0.000 0.500
Bi3 0.000 0.500 0.000
O1 0.000 0.000 0.000

Crystalline CoBiO2 at its relaxed geometry. Source: Alexandria via LeMat-Bulk, functional PBE with a Hubbard U.

## Properties
Uncorrected energy: -5.45 eV/atom
Symmetry: I-42d
Theoretical density: 7.72 Mg/m³
Volume: 16.1 Å³/atom
Density of states at the Fermi level: 2.03 states/eV/f.u.

Lattice parameters (Å, degrees): 5.219 5.219 6.002 64.23 64.23 90.00
Sites, in units of the cell vectors:
O1 0.195 0.625 0.250
O2 0.875 0.805 0.750
O3 0.375 0.445 0.750
O4 0.555 0.125 0.250
Bi1 0.000 0.000 0.000
Bi2 0.750 0.250 0.500
Co1 0.250 0.750 0.500
Co2 0.500 0.500 0.000

Crystalline Co2Bi11O20 at its relaxed geometry. Source: Alexandria via LeMat-Bulk, functional PBE with a Hubbard U.

## Properties
Uncorrected energy: -5.73 eV/atom
Symmetry: P1
Theoretical density: 8.30 Mg/m³
Volume: 16.6 Å³/atom

Lattice parameters (Å, degrees): 9.180 8.937 8.653 108.29 108.95 110.99
Sites, in units of the cell vectors:
O1 0.402 0.001 0.999
O2 0.251 0.624 0.879
O3 0.897 0.257 0.559
O4 0.284 0.382 0.634
O5 0.944 0.011 0.797
O6 0.992 0.819 0.017
O7 0.606 0.609 0.616
O8 0.390 0.758 0.645
O9 0.007 0.003 0.407
O10 0.214 0.224 0.194
O11 0.628 0.877 0.235
O12 0.372 0.611 0.249
O13 0.989 0.395 0.982
O14 0.756 0.637 0.389
O15 0.636 0.359 0.746
O16 0.851 0.086 0.107
O17 0.360 0.106 0.737
O18 0.120 0.732 0.363
O19 0.572 0.254 0.374
O20 0.739 0.372 0.126
Bi1 0.362 0.843 0.153
Bi2 0.658 0.801 0.501
Bi3 0.310 0.158 0.496
Bi4 0.504 0.661 0.817
Bi5 0.699 0.193 0.872
Bi6 0.483 0.296 0.143
Bi7 0.152 0.474 0.283
Bi8 0.118 0.323 0.806
Bi9 0.785 0.491 0.635
Bi10 0.204 0.839 0.691
Bi11 0.869 0.698 0.202
Co1 0.848 0.089 0.326
Co2 0.997 0.019 0.020